Entry 1:
The following is a DFT calculation (PBE) of ScPSO2 after structural relaxation.

For the uncorrected formation energy, the calculation gives -566 meV per atom. For the size of the total moment, the calculation gives 0.00 μB per cell. Its density is 3.561 g cm⁻³. The electronic total energy is -28.62 eV/f.u.

The structure belongs to space group P4/mmm (No. 123); the cell edges are 3.7773, 3.7773 and 4.5757 Å and the angles 90.00°, 90.00° and 90.00°. The asymmetric unit holds Sc at (0.0000, 0.0000, 0.0000), P at (0.5000, 0.5000, 0.0000), S at (0.5000, 0.5000, 0.5000) and O at (0.0000, 0.5000, 0.5000).

---

Entry 2:
The following is a DFT calculation (PBE) of Al3HgCl after structural relaxation.

The value obtained for the energy above the most stable polymorph in this dataset is 0 meV/atom. For the uncorrected formation energy, the calculation gives 405 meV per atom. For the size of the total moment, the calculation gives 0.00 μB per cell. Its density is 3.740 g cm⁻³. The electronic total energy is -11.35 eV/f.u.

The structure belongs to space group Pm-3m (No. 221); the cell edges are 5.2016, 5.2016 and 5.2016 Å and the angles 90.00°, 90.00° and 90.00°. The asymmetric unit holds Al at (0.0000, 0.0000, 0.5000), Hg at (0.0000, 0.0000, 0.0000) and Cl at (0.5000, 0.5000, 0.5000).

---

Entry 3:
The following is a DFT calculation (PBE) of Tb3PuTh2P6 after structural relaxation.

For the size of the total moment, the calculation gives 10.79 μB per cell. The calculation puts the formation energy at -1.5267 eV/atom. Its density is 7.968 g cm⁻³. The electronic total energy is -93.84 eV/f.u.

The structure belongs to space group C2/m (No. 12); the cell edges are 17.7240, 4.0778 and 8.1171 Å and the angles 90.00°, 103.14° and 90.00°. The asymmetric unit holds Tb at (0.0000, 0.0000, 0.0000), Tb at (0.1666, 0.5000, 0.3339), Pu at (0.0000, 0.0000, 0.5000), Th at (0.1647, 0.5000, 0.8300), P at (0.0017, 0.5000, 0.2533), P at (0.1660, 0.0000, 0.0861) and P at (0.1665, 0.0000, 0.5790).

---

Entry 4:
The following is a DFT calculation (PBE) of SbPBr2 after structural relaxation.

The value obtained for the energy above the most stable polymorph in this dataset is 619 meV/atom. For the uncorrected formation energy, the calculation gives 420 meV per atom. For the size of the total moment, the calculation gives 0.00 μB per cell. Its density is 5.113 g cm⁻³. The electronic total energy is -11.20 eV/f.u.

The structure belongs to space group Cmmm (No. 65); the cell edges are 3.3994, 6.2677 and 9.5278 Å and the angles 90.00°, 90.00° and 90.00°. The asymmetric unit holds Sb at (0.0000, 0.0000, 0.0000), P at (0.0000, 0.0000, 0.5000) and Br at (0.0000, 0.5000, 0.2933).

---

Entry 5:
The following is a DFT calculation (PBE) of LaCuSnPd2 after structural relaxation.

For the size of the total moment, the calculation gives 0.00 μB per cell. The calculation puts the formation energy at 0.5188 eV/atom. Its density is 5.954 g cm⁻³. The electronic total energy is -20.82 eV/f.u.

The structure belongs to space group P4/mmm (No. 123); the cell edges are 4.9691, 4.9691 and 6.0312 Å and the angles 90.00°, 90.00° and 90.00°. The asymmetric unit holds La at (0.0000, 0.0000, 0.0000), Cu at (0.5000, 0.5000, 0.0000), Sn at (0.0000, 0.0000, 0.5000) and Pd at (0.0000, 0.5000, 0.5000).

---

Entry 6:
The following is a DFT calculation (PBE) of SbPWI2 after structural relaxation.

The value obtained for the energy above the most stable polymorph in this dataset is 352 meV/atom. For the uncorrected formation energy, the calculation gives 1533 meV per atom. For the size of the total moment, the calculation gives 3.68 μB per cell. Its density is 6.493 g cm⁻³. The electronic total energy is -17.92 eV/f.u.

The structure belongs to space group P4/mmm (No. 123); the cell edges are 5.2630, 5.2630 and 5.4512 Å and the angles 90.00°, 90.00° and 90.00°. The asymmetric unit holds Sb at (0.0000, 0.0000, 0.0000), P at (0.0000, 0.0000, 0.5000), W at (0.5000, 0.5000, 0.0000) and I at (0.0000, 0.5000, 0.5000).

---

Entry 7:
The following is a DFT calculation (PBE) of BaCoGeBi after structural relaxation.

For the size of the total moment, the calculation gives 1.42 μB per cell. The calculation puts the formation energy at -0.3661 eV/atom. Its density is 7.111 g cm⁻³. The electronic total energy is -18.99 eV/f.u.

The structure belongs to space group P4/nmm (No. 129, origin choice 2); the cell edges are 4.3873, 4.3873 and 11.5946 Å and the angles 90.00°, 90.00° and 90.00°. The asymmetric unit holds Ba at (0.2500, 0.2500, 0.2327), Co at (0.2500, 0.7500, 0.0000), Ge at (0.2500, 0.2500, 0.9158) and Bi at (0.2500, 0.7500, 0.5000).

---

Entry 8:
The following is a DFT calculation (PBE) of Nd5Sm3Ho after structural relaxation.

The value obtained for the energy above the most stable polymorph in this dataset is 0 meV/atom. For the size of the total moment, the calculation gives 0.00 μB per cell. The calculation puts the formation energy at 0.2631 eV/atom. Its density is 6.956 g cm⁻³. The electronic total energy is -40.21 eV/f.u.

The structure belongs to space group C2/c (No. 15); the cell edges are 20.4097, 6.3085 and 11.7912 Å and the angles 90.00°, 122.75° and 90.00°. The asymmetric unit holds Nd at (0.0000, 0.0821, 0.2500), Nd at (0.1383, 0.1757, 0.6542), Nd at (0.1789, 0.3135, 0.3326), Sm at (0.0000, 0.5000, 0.0000), Sm at (0.1768, 0.2757, 0.0268) and Ho at (0.0000, 0.4061, 0.7500).

---

Entry 9:
The following is a DFT calculation (PBE) of Ca4SiRh after structural relaxation.

For the uncorrected formation energy, the calculation gives 649 meV per atom. For the size of the total moment, the calculation gives 0.15 μB per cell. Its density is 3.147 g cm⁻³. The electronic total energy is -16.89 eV/f.u.

The structure belongs to space group F-43m (No. 216); the cell edges are 8.5037, 8.5037 and 8.5037 Å and the angles 90.00°, 90.00° and 90.00°. The asymmetric unit holds Ca at (0.1246, 0.1246, 0.1246), Si at (0.0000, 0.0000, 0.5000) and Rh at (0.2500, 0.2500, 0.7500).

---

Entry 10:
The following is a DFT calculation (PBE) of PrThAlIn after structural relaxation.

For the size of the total moment, the calculation gives 0.00 μB per cell. The calculation puts the formation energy at -0.2536 eV/atom. Its density is 7.641 g cm⁻³. The electronic total energy is -19.69 eV/f.u.

The structure belongs to space group F-43m (No. 216); the cell edges are 7.6487, 7.6487 and 7.6487 Å and the angles 90.00°, 90.00° and 90.00°. The asymmetric unit holds Pr at (0.0000, 0.0000, 0.0000), Th at (0.0000, 0.0000, 0.5000), Al at (0.2500, 0.2500, 0.2500) and In at (0.2500, 0.2500, 0.7500).

---

Entry 11:
The following is a DFT calculation (PBE) of SrCrP after structural relaxation.

For the size of the total moment, the calculation gives 5.81 μB per cell. The calculation puts the formation energy at -0.1200 eV/atom. Its density is 4.343 g cm⁻³. The electronic total energy is -17.07 eV/f.u.

The structure belongs to space group I4mm (No. 107); the cell edges are 3.4175, 3.4175 and 11.1686 Å and the angles 90.00°, 90.00° and 90.00°. The asymmetric unit holds Sr at (0.0000, 0.0000, 0.0000), Cr at (0.0000, 0.0000, 0.7292) and P at (0.0000, 0.0000, 0.2903).

---

Entry 12:
The following is a DFT calculation (PBE) of MnCdPdPt after structural relaxation.

For the size of the total moment, the calculation gives 4.30 μB per cell. The calculation puts the formation energy at -0.3399 eV/atom. Its density is 11.955 g cm⁻³. The electronic total energy is -22.68 eV/f.u.

The structure belongs to space group P4mm (No. 99); the cell edges are 2.9846, 2.9846 and 7.3106 Å and the angles 90.00°, 90.00° and 90.00°. The asymmetric unit holds Mn at (0.0000, 0.0000, 0.0000), Cd at (0.0000, 0.0000, 0.4985), Pd at (0.5000, 0.5000, 0.2287) and Pt at (0.5000, 0.5000, 0.7757).